First-principles (PBEsol) data for crystalline CaAu2 at its relaxed geometry, as listed in the Alexandria database.

Properties
total energy	-23.6	eV per cell
magnetic moment	0.0	μB/cell
E_form	-0.6091	eV/atom
SG	I4_1/amd, No. 141

abc: 3.924 3.924 9.376
angles: 102.08 102.08 90.00
Fractional positions:
1 Au 0.075 0.075 0.149
2 Au 0.925 0.925 0.851
3 Au 0.175 0.675 0.351
4 Au 0.325 0.825 0.649
5 Ca 0.500 0.500 0.000
6 Ca 0.750 0.250 0.500